A relaxed Rb3MgIr crystal. Source: Alexandria via LeMat-Bulk, functional PBE-GGA. Values from VASP.

```
&SYSTEM
  ibrav = 0, nat = 5, ntyp = 3
/
ATOMIC_SPECIES
Ir 192.22 Ir.upf
Rb 85.47 Rb.upf
Mg 24.30 Mg.upf
CELL_PARAMETERS angstrom
-5.4067 3.3996 -0.6461
-2.8529 -3.7006 4.4016
1.9586 3.9944 4.6277
ATOMIC_POSITIONS angstrom
Ir 0.0000 0.0000 0.0000
Rb -1.4264 -1.8503 2.2008
Rb -2.7033 1.6998 -0.3231
Mg -3.1505 1.8467 4.1916
Rb 0.9793 1.9972 2.3138
```

## Properties
ρ   2.97 g/cm3
Symmetry   Pm-3m
E_form   0.800 eV per atom